# 1
Computed, not measured: CsTlInHg2 after structural relaxation at the GGA-PBE level of DFT.

```
CsTlInHg2
1.0
-3.283 -2.799 4.089
0.142 -4.956 -3.279
5.122 -1.772 2.899
In Tl Cs Hg
1 1 1 2
Direct
0.000 0.000 0.500 In
0.000 0.000 0.000 Tl
0.500 0.500 0.500 Cs
0.500 0.000 0.000 Hg
0.000 0.500 0.000 Hg
```

Computed properties:
DFT formation energy ... 54 meV per atom
Total magnetization ... 0.0 μB per formula unit
Relative energy among the computed polymorphs ... 17.8 kJ/mol of atoms
Crystal system ... tetragonal
DFT total energy ... -6.29 eV for the cell shown
D(E_F) ... 3.68 states/eV/cell



# 2
Computed, not measured: Tb2Ho3Tm after structural relaxation at the GGA-PBE level of DFT.

```
Tb2Ho3Tm
1.0
5.568 0.000 0.000
-2.784 8.368 -1.099
0.000 -4.381 8.535
Ho Tm Tb
6 2 4
Direct
0.000 0.999 0.332 Ho
0.375 0.751 0.377 Ho
0.749 0.499 0.413 Ho
0.000 0.001 0.668 Ho
0.625 0.249 0.623 Ho
0.251 0.501 0.587 Ho
0.875 0.750 0.872 Tm
0.125 0.250 0.128 Tm
0.251 0.502 0.921 Tb
0.749 0.498 0.079 Tb
0.500 0.999 0.165 Tb
0.500 0.001 0.835 Tb
```

Computed properties:
DFT formation energy ... 70 meV per atom
Total magnetization ... 0.0 μB per formula unit
Relative energy among the computed polymorphs ... 4.8 kJ/mol of atoms
Crystal system ... monoclinic
DFT total energy ... -54.09 eV for the cell shown
D(E_F) ... 21.98 states/eV/cell



What did the first record say?
Computed, not measured: CsTlInHg2 after structural relaxation at the GGA-PBE level of DFT.

```
CsTlInHg2
1.0
-3.283 -2.799 4.089
0.142 -4.956 -3.279
5.122 -1.772 2.899
In Tl Cs Hg
1 1 1 2
Direct
0.000 0.000 0.500 In
0.000 0.000 0.000 Tl
0.500 0.500 0.500 Cs
0.500 0.000 0.000 Hg
0.000 0.500 0.000 Hg
```

Computed properties:
DFT formation energy ... 54 meV per atom
Total magnetization ... 0.0 μB per formula unit
Relative energy among the computed polymorphs ... 17.8 kJ/mol of atoms
Crystal system ... tetragonal
DFT total energy ... -6.29 eV for the cell shown
D(E_F) ... 3.68 states/eV/cell